Entry 1:
First-principles (PBE) data for crystalline Ba2InIr at its relaxed geometry, as listed in the Alexandria database.

The crystal system is orthorhombic.

It has space group Pmmm (No. 47), with a = 3.688 Å, b = 3.952 Å, c = 9.022 Å, α = 90.00°, β = 90.00° and γ = 90.00°. Symmetry generates all atoms from Ba at (0.000, 0.000, 0.203), In at (0.500, 0.500, 0.500) and Ir at (0.500, 0.500, 0.000).

=====

Entry 2:
First-principles (PBE) data for crystalline BaIn2Ir at its relaxed geometry, as listed in the Alexandria database.

The crystal system is cubic.

It has space group Fm-3m (No. 225), with a = 7.344 Å, b = 7.344 Å, c = 7.344 Å, α = 90.00°, β = 90.00° and γ = 90.00°. Symmetry generates all atoms from Ba at (0.000, 0.000, 0.000), In at (0.250, 0.250, 0.250) and Ir at (0.000, 0.000, 0.500).

=====

| no. | VASP energy (eV/cell) |
| --- | --- |
| 1 | -15.6 |
| 2 | -63.5 |